1.
# BaErPb GGA-PBE optimized geometry
# Symmetry: No. 216
# M_tot, μB/f.u.: 0.1
# Raw total energy, eV per cell: -10.6
data_BaErPb
_cell_length_a 5.568
_cell_length_b 5.568
_cell_length_c 5.568
_cell_angle_alpha 60.00
_cell_angle_beta 60.00
_cell_angle_gamma 60.00
_symmetry_space_group_name_H-M 'P 1'
_symmetry_Int_Tables_number 1
_symmetry_space_group_name_Hall 'P 1'
loop_
_atom_site_label
_atom_site_type_symbol
_atom_site_fract_x
_atom_site_fract_y
_atom_site_fract_z
Er1 Er 0.750 0.750 0.750
Pb1 Pb 0.000 0.000 0.000
Ba1 Ba 0.250 0.250 0.250

***

2.
# LuScAg2O4 GGA-PBE optimized geometry
# Symmetry: No. 164
# M_tot, μB/f.u.: 0.0
# Raw total energy, eV per cell: -54.7
data_LuScAg2O4
_cell_length_a 3.276
_cell_length_b 3.276
_cell_length_c 12.487
_cell_angle_alpha 90.00
_cell_angle_beta 90.00
_cell_angle_gamma 120.00
_symmetry_space_group_name_H-M 'P 1'
_symmetry_Int_Tables_number 1
_symmetry_space_group_name_Hall 'P 1'
loop_
_atom_site_label
_atom_site_type_symbol
_atom_site_fract_x
_atom_site_fract_y
_atom_site_fract_z
Lu1 Lu 0.000 0.000 0.500
O1 O 0.333 0.667 0.080
O2 O 0.667 0.333 0.587
O3 O 0.667 0.333 0.920
O4 O 0.333 0.667 0.413
Sc1 Sc 0.000 0.000 0.000
Ag1 Ag 0.333 0.667 0.247
Ag2 Ag 0.667 0.333 0.753

***

3.
# AcTaNO GGA-PBE optimized geometry
# Symmetry: No. 51
# M_tot, μB/f.u.: 0.0
# ΔE to the lowest computed polymorph, eV/atom: 0.1339
data_AcTaNO
_cell_length_a 4.144
_cell_length_b 5.545
_cell_length_c 5.617
_cell_angle_alpha 90.00
_cell_angle_beta 90.00
_cell_angle_gamma 90.00
_symmetry_space_group_name_H-M 'P 1'
_symmetry_Int_Tables_number 1
_symmetry_space_group_name_Hall 'P 1'
loop_
_atom_site_label
_atom_site_type_symbol
_atom_site_fract_x
_atom_site_fract_y
_atom_site_fract_z
Ta1 Ta 0.500 0.001 0.278
Ta2 Ta 0.500 0.501 0.722
Ac1 Ac 0.000 0.501 0.235
Ac2 Ac 0.000 0.001 0.765
O1 O 0.500 0.751 0.999
O2 O 0.500 0.251 0.001
N1 N 0.000 0.501 0.707
N2 N 0.000 0.001 0.293

***

4.
# TaNbNO GGA-PBE optimized geometry
# Symmetry: No. 26
# M_tot, μB/f.u.: 0.0
# ΔE to the lowest computed polymorph, eV/atom: 0.0027
data_TaNbNO
_cell_length_a 2.988
_cell_length_b 5.701
_cell_length_c 6.019
_cell_angle_alpha 90.00
_cell_angle_beta 90.00
_cell_angle_gamma 90.00
_symmetry_space_group_name_H-M 'P 1'
_symmetry_Int_Tables_number 1
_symmetry_space_group_name_Hall 'P 1'
loop_
_atom_site_label
_atom_site_type_symbol
_atom_site_fract_x
_atom_site_fract_y
_atom_site_fract_z
Ta1 Ta 0.000 0.560 0.332
Ta2 Ta 0.000 0.060 0.668
Nb1 Nb 0.500 0.962 0.106
Nb2 Nb 0.500 0.462 0.894
N1 N 0.000 0.410 0.636
N2 N 0.000 0.910 0.364
O1 O 0.500 0.822 0.782
O2 O 0.500 0.322 0.218

***

5.
# CsNdHgO3 GGA-PBE optimized geometry
# Symmetry: No. 63
# M_tot, μB/f.u.: 0.0
# Raw total energy, eV per cell: -63.3
data_CsNdHgO3
_cell_length_a 7.645
_cell_length_b 7.645
_cell_length_c 9.313
_cell_angle_alpha 90.00
_cell_angle_beta 90.00
_cell_angle_gamma 151.04
_symmetry_space_group_name_H-M 'P 1'
_symmetry_Int_Tables_number 1
_symmetry_space_group_name_Hall 'P 1'
loop_
_atom_site_label
_atom_site_type_symbol
_atom_site_fract_x
_atom_site_fract_y
_atom_site_fract_z
Nd1 Nd 0.000 0.000 0.000
Nd2 Nd 0.000 0.000 0.500
O1 O 0.602 0.398 0.030
O2 O 0.029 0.971 0.750
O3 O 0.398 0.602 0.530
O4 O 0.398 0.602 0.970
O5 O 0.602 0.398 0.470
O6 O 0.971 0.029 0.250
Cs1 Cs 0.686 0.314 0.750
Cs2 Cs 0.314 0.686 0.250
Hg1 Hg 0.401 0.599 0.750
Hg2 Hg 0.599 0.401 0.250

***

6.
# La2AgIr GGA-PBE optimized geometry
# Symmetry: No. 123
# M_tot, μB/f.u.: 0.0
# ΔE to the lowest computed polymorph, eV/atom: 0.0450
data_La2AgIr
_cell_length_a 3.646
_cell_length_b 3.646
_cell_length_c 7.676
_cell_angle_alpha 90.00
_cell_angle_beta 90.00
_cell_angle_gamma 90.00
_symmetry_space_group_name_H-M 'P 1'
_symmetry_Int_Tables_number 1
_symmetry_space_group_name_Hall 'P 1'
loop_
_atom_site_label
_atom_site_type_symbol
_atom_site_fract_x
_atom_site_fract_y
_atom_site_fract_z
Ir1 Ir 0.000 0.000 0.000
La1 La 0.500 0.500 0.222
La2 La 0.500 0.500 0.778
Ag1 Ag 0.000 0.000 0.500

***

7.
# GdEr2S3 GGA-PBE optimized geometry
# Symmetry: No. 164
# M_tot, μB/f.u.: 0.0
# Raw total energy, eV per cell: -38.0
data_GdEr2S3
_cell_length_a 3.884
_cell_length_b 3.884
_cell_length_c 9.540
_cell_angle_alpha 90.00
_cell_angle_beta 90.00
_cell_angle_gamma 120.00
_symmetry_space_group_name_H-M 'P 1'
_symmetry_Int_Tables_number 1
_symmetry_space_group_name_Hall 'P 1'
loop_
_atom_site_label
_atom_site_type_symbol
_atom_site_fract_x
_atom_site_fract_y
_atom_site_fract_z
Er1 Er 0.667 0.333 0.335
Er2 Er 0.333 0.667 0.665
S1 S 0.667 0.333 0.827
S2 S 0.333 0.667 0.173
S3 S 0.000 0.000 0.500
Gd1 Gd 0.000 0.000 0.000

***

8.
# TbDy2In3Pd3 GGA-PBE optimized geometry
# Symmetry: No. 38
# M_tot, μB/f.u.: 0.0
# Raw total energy, eV per cell: -45.0
data_TbDy2In3Pd3
_cell_length_a 3.857
_cell_length_b 7.697
_cell_length_c 7.697
_cell_angle_alpha 120.06
_cell_angle_beta 90.00
_cell_angle_gamma 90.00
_symmetry_space_group_name_H-M 'P 1'
_symmetry_Int_Tables_number 1
_symmetry_space_group_name_Hall 'P 1'
loop_
_atom_site_label
_atom_site_type_symbol
_atom_site_fract_x
_atom_site_fract_y
_atom_site_fract_z
In1 In 0.500 0.259 0.000
In2 In 0.500 0.742 0.742
In3 In 0.500 0.000 0.259
Dy1 Dy 0.000 0.000 0.592
Dy2 Dy 0.000 0.592 0.000
Pd1 Pd 0.500 0.667 0.333
Pd2 Pd 0.000 0.000 0.000
Pd3 Pd 0.500 0.333 0.667
Tb1 Tb 0.000 0.408 0.408

***

9.
# PmGeW GGA-PBE optimized geometry
# Symmetry: No. 216
# M_tot, μB/f.u.: 0.5
# ΔE to the lowest computed polymorph, eV/atom: 0.0000
data_PmGeW
_cell_length_a 4.590
_cell_length_b 4.590
_cell_length_c 4.590
_cell_angle_alpha 60.00
_cell_angle_beta 60.00
_cell_angle_gamma 60.00
_symmetry_space_group_name_H-M 'P 1'
_symmetry_Int_Tables_number 1
_symmetry_space_group_name_Hall 'P 1'
loop_
_atom_site_label
_atom_site_type_symbol
_atom_site_fract_x
_atom_site_fract_y
_atom_site_fract_z
Ge1 Ge 0.000 0.000 0.000
W1 W 0.750 0.750 0.750
Pm1 Pm 0.250 0.250 0.250

***

10.
# Li6Zr2Ga GGA-PBE optimized geometry
# Symmetry: No. 47
# M_tot, μB/f.u.: 0.8
# Raw total energy, eV per cell: -25.8
data_Li6Zr2Ga
_cell_length_a 3.417
_cell_length_b 3.436
_cell_length_c 13.102
_cell_angle_alpha 90.00
_cell_angle_beta 90.00
_cell_angle_gamma 90.00
_symmetry_space_group_name_H-M 'P 1'
_symmetry_Int_Tables_number 1
_symmetry_space_group_name_Hall 'P 1'
loop_
_atom_site_label
_atom_site_type_symbol
_atom_site_fract_x
_atom_site_fract_y
_atom_site_fract_z
Li1 Li 0.500 0.500 0.000
Li2 Li 0.000 0.500 0.146
Li3 Li 0.000 0.500 0.854
Li4 Li 0.500 0.500 0.500
Li5 Li 0.500 0.000 0.147
Li6 Li 0.500 0.000 0.853
Zr1 Zr 0.500 0.500 0.689
Zr2 Zr 0.500 0.500 0.311
Ga1 Ga 0.000 0.000 0.000

***

11.
# LiHfTlS3 GGA-PBE optimized geometry
# Symmetry: No. 11
# M_tot, μB/f.u.: 0.0
# ΔE to the lowest computed polymorph, eV/atom: 0.0116
data_LiHfTlS3
_cell_length_a 7.910
_cell_length_b 3.780
_cell_length_c 9.748
_cell_angle_alpha 90.00
_cell_angle_beta 109.99
_cell_angle_gamma 90.00
_symmetry_space_group_name_H-M 'P 1'
_symmetry_Int_Tables_number 1
_symmetry_space_group_name_Hall 'P 1'
loop_
_atom_site_label
_atom_site_type_symbol
_atom_site_fract_x
_atom_site_fract_y
_atom_site_fract_z
Li1 Li 0.067 0.250 0.101
Li2 Li 0.933 0.750 0.899
Tl1 Tl 0.268 0.250 0.805
Tl2 Tl 0.732 0.750 0.195
S1 S 0.452 0.750 0.630
S2 S 0.099 0.250 0.353
S3 S 0.548 0.250 0.370
S4 S 0.762 0.250 0.923
S5 S 0.901 0.750 0.647
S6 S 0.238 0.750 0.077
Hf1 Hf 0.689 0.250 0.654
Hf2 Hf 0.311 0.750 0.346

***

12.
# LiNiTeAuSe2 GGA-PBE optimized geometry
# Symmetry: No. 63
# M_tot, μB/f.u.: 0.0
# Raw total energy, eV per cell: -45.4
data_LiNiTeAuSe2
_cell_length_a 7.220
_cell_length_b 7.220
_cell_length_c 10.368
_cell_angle_alpha 90.00
_cell_angle_beta 90.00
_cell_angle_gamma 152.20
_symmetry_space_group_name_H-M 'P 1'
_symmetry_Int_Tables_number 1
_symmetry_space_group_name_Hall 'P 1'
loop_
_atom_site_label
_atom_site_type_symbol
_atom_site_fract_x
_atom_site_fract_y
_atom_site_fract_z
Te1 Te 0.555 0.445 0.250
Te2 Te 0.445 0.555 0.750
Li1 Li 0.214 0.786 0.250
Li2 Li 0.786 0.214 0.750
Se1 Se 0.880 0.120 0.012
Se2 Se 0.880 0.120 0.488
Se3 Se 0.120 0.880 0.512
Se4 Se 0.120 0.880 0.988
Au1 Au 0.142 0.858 0.750
Au2 Au 0.858 0.142 0.250
Ni1 Ni 0.500 0.500 0.500
Ni2 Ni 0.500 0.500 0.000

***

13.
# Zn2AgSb GGA-PBE optimized geometry
# Symmetry: No. 216
# Raw total energy, eV per cell: -8.8
data_Zn2AgSb
_cell_length_a 4.819
_cell_length_b 4.819
_cell_length_c 4.819
_cell_angle_alpha 60.00
_cell_angle_beta 60.00
_cell_angle_gamma 60.00
_symmetry_space_group_name_H-M 'P 1'
_symmetry_Int_Tables_number 1
_symmetry_space_group_name_Hall 'P 1'
loop_
_atom_site_label
_atom_site_type_symbol
_atom_site_fract_x
_atom_site_fract_y
_atom_site_fract_z
Zn1 Zn 0.000 0.000 0.000
Zn2 Zn 0.750 0.750 0.750
Sb1 Sb 0.500 0.500 0.500
Ag1 Ag 0.250 0.250 0.250